This record from Alexandria describes crystalline AuSIN2 at its relaxed geometry. The functional is PBE.

## Properties
- symmetry = P4/mmm, No. 123
- formation energy without anion corrections (meV per atom) = 1594

Cell lengths 3.742, 3.742, 8.033 Å; angles 90.00, 90.00, 90.00 degrees
Positions (direct):
I  0.000  0.000  0.500
N  0.500  0.000  0.000
N  0.000  0.500  0.000
Au  0.500  0.500  0.500
S  0.000  0.000  0.000



This record from Alexandria describes crystalline UNb2Rh at its relaxed geometry. The functional is PBE.

## Properties
- symmetry = Fm-3m, No. 225
- calculated formation energy (eV per atom) = 0.08

Cell lengths 4.660, 4.660, 4.660 Å; angles 60.00, 60.00, 60.00 degrees
Positions (direct):
Nb  0.750  0.750  0.750
Nb  0.250  0.250  0.250
U  0.000  0.000  0.000
Rh  0.500  0.500  0.500



This record from Alexandria describes crystalline BeFeOs at its relaxed geometry. The functional is PBE.

## Properties
- symmetry = Fmm2, No. 42
- calculated formation energy (eV per atom) = 0.17

Cell lengths 6.127, 5.929, 2.578 Å; angles 81.98, 73.39, 24.63 degrees
Positions (direct):
Fe  0.344  0.344  0.656
Os  0.659  0.659  0.341
Be  0.997  0.997  0.003



This record from Alexandria describes crystalline BOs2I at its relaxed geometry. The functional is PBE.

## Properties
- symmetry = I-42d, No. 122
- formation energy without anion corrections (meV per atom) = 1005

Cell lengths 4.912, 4.912, 6.948 Å; angles 69.30, 69.30, 90.00 degrees
Positions (direct):
B  0.250  0.750  0.500
B  0.500  0.500  0.000
I  0.750  0.250  0.500
I  0.000  0.000  0.000
Os  0.514  0.125  0.250
Os  0.875  0.764  0.750
Os  0.236  0.625  0.250
Os  0.375  0.486  0.750



This record from Alexandria describes crystalline YAlIrOs2 at its relaxed geometry. The functional is PBE.

## Properties
- symmetry = P4/mmm, No. 123
- calculated formation energy (eV per atom) = 0.76

Cell lengths 4.834, 4.528, 4.834 Å; angles 90.00, 90.00, 90.00 degrees
Positions (direct):
Y  0.500  0.500  0.500
Ir  0.000  0.000  0.000
Al  0.000  0.500  0.000
Os  0.000  0.000  0.500
Os  0.500  0.000  0.000



This record from Alexandria describes crystalline Rb3Na2PaF9 at its relaxed geometry. The functional is PBE.

## Properties
- symmetry = P-3m1, No. 164
- formation energy without anion corrections (meV per atom) = -3111

Cell lengths 6.360, 6.360, 8.264 Å; angles 90.00, 90.00, 120.00 degrees
Positions (direct):
F  0.320  0.160  0.660
F  0.160  0.320  0.340
F  0.500  0.000  0.000
F  0.160  0.840  0.340
F  0.000  0.500  0.000
F  0.680  0.840  0.340
F  0.840  0.160  0.660
F  0.500  0.500  0.000
F  0.840  0.680  0.660
Rb  0.000  0.000  0.000
Rb  0.667  0.333  0.244
Rb  0.333  0.667  0.756
Na  0.667  0.333  0.842
Na  0.333  0.667  0.158
Pa  0.000  0.000  0.500



This record from Alexandria describes crystalline FeSiC2 at its relaxed geometry. The functional is PBE.

## Properties
- symmetry = Cm, No. 8
- formation energy without anion corrections (meV per atom) = 640

Cell lengths 4.643, 2.918, 6.678 Å; angles 90.00, 119.81, 90.00 degrees
Positions (direct):
C  0.159  0.000  0.847
C  0.807  0.000  0.728
C  0.159  0.500  0.347
C  0.807  0.500  0.228
Fe  0.014  0.000  0.509
Fe  0.014  0.500  0.009
Si  0.493  0.000  0.150
Si  0.493  0.500  0.650



This record from Alexandria describes crystalline KZnGaF6 at its relaxed geometry. The functional is PBE.

## Properties
- symmetry = Imma, No. 74
- formation energy without anion corrections (meV per atom) = -2605

Cell lengths 7.195, 7.427, 7.346 Å; angles 120.37, 119.32, 90.00 degrees
Positions (direct):
F  0.187  0.337  0.755
F  0.444  0.694  0.887
F  0.432  0.663  0.245
F  0.167  0.917  0.333
F  0.568  0.337  0.755
F  0.556  0.306  0.113
F  0.833  0.083  0.667
F  0.813  0.663  0.245
F  0.432  0.081  0.245
F  0.187  0.919  0.755
F  0.568  0.919  0.755
F  0.813  0.081  0.245
Ga  0.500  0.500  0.000
Ga  0.500  0.000  0.000
Zn  0.500  0.000  0.500
Zn  0.000  0.000  0.500
K  0.101  0.351  0.203
K  0.899  0.649  0.797



This record from Alexandria describes crystalline K2GaPd at its relaxed geometry. The functional is PBE.

## Properties
- symmetry = I-42d, No. 122
- calculated formation energy (eV per atom) = -0.08

Cell lengths 12.132, 12.132, 8.911 Å; angles 47.10, 47.10, 90.00 degrees
Positions (direct):
K  0.375  0.197  0.750
K  0.875  0.053  0.750
K  0.947  0.625  0.250
K  0.803  0.125  0.250
Ga  0.500  0.500  0.000
Ga  0.250  0.750  0.500
Pd  0.750  0.250  0.500
Pd  0.000  0.000  0.000



This record from Alexandria describes crystalline Re2SiP at its relaxed geometry. The functional is PBE.

## Properties
- symmetry = R3m, No. 160
- formation energy without anion corrections (meV per atom) = -41

Cell lengths 7.736, 7.736, 7.736 Å; angles 21.93, 21.93, 21.93 degrees
Positions (direct):
P  0.750  0.750  0.750
Re  0.245  0.245  0.245
Re  0.007  0.007  0.007
Si  0.498  0.498  0.498



This record from Alexandria describes crystalline NaNCl4 at its relaxed geometry. The functional is PBE.

## Properties
- symmetry = I4_1/amd, No. 141
- formation energy without anion corrections (meV per atom) = -46

Cell lengths 7.904, 7.904, 7.904 Å; angles 100.85, 100.85, 128.58 degrees
Positions (direct):
Cl  0.164  0.324  0.839
Cl  0.074  0.735  0.661
Cl  0.265  0.926  0.339
Cl  0.074  0.414  0.339
Cl  0.586  0.926  0.661
Cl  0.485  0.324  0.161
Cl  0.676  0.515  0.839
Cl  0.676  0.836  0.161
N  0.250  0.750  0.500
N  0.500  0.500  0.000
Na  0.750  0.250  0.500
Na  0.000  0.000  0.000



This record from Alexandria describes crystalline CeZrZnOs at its relaxed geometry. The functional is PBE.

## Properties
- symmetry = F-43m, No. 216
- calculated formation energy (eV per atom) = -0.16

Cell lengths 4.839, 4.839, 4.839 Å; angles 60.00, 60.00, 60.00 degrees
Positions (direct):
Os  0.500  0.500  0.500
Ce  0.750  0.750  0.750
Zr  0.250  0.250  0.250
Zn  0.000  0.000  0.000